(1)
Compound: Ac2Pm5Sc
Source: Alexandria via LeMat-Bulk
Functional: PBE
Structure: optimized geometry

The formation energy comes out at 0.5 eV per formula unit. For the total energy, the calculation gives -4.7289 eV per atom. The calculation puts the spin magnetization at 0.00 μB per formula unit.

Cell lengths 5.2531, 5.2531, 20.6069 Å; angles 90.00, 90.00, 90.00 degrees
With the nearest neighbours (Å) after each atom.
Space group I4/mmm (No. 139)
Unique sites:
Ac (0.0000, 0.0000, 0.2502) (multiplicity 4)  4 Ac 3.71, 8 Pm 3.81
Pm (0.0000, 0.0000, 0.0000) (multiplicity 2)  8 Pm 3.55, 4 Sc 3.71
Pm (0.0000, 0.5000, 0.1162) (multiplicity 8)  2 Sc 3.55, 6 Pm 3.55-3.71, 4 Ac 3.81
Sc (0.0000, 0.0000, 0.5000) (multiplicity 2)  12 Pm 3.55-3.71



(2)
Compound: AcPm2Sc
Source: Alexandria via LeMat-Bulk
Functional: PBE
Structure: optimized geometry

The formation energy comes out at 0.8 eV per formula unit. As for the energy above the most stable polymorph in this dataset: 131 meV/atom. For the total energy, the calculation gives -4.7843 eV per atom. The calculation puts the spin magnetization at 1.64 μB per formula unit.

Cell lengths 8.2078, 8.2078, 8.2078 Å; angles 90.00, 90.00, 90.00 degrees
With the nearest neighbours (Å) after each atom.
Space group Fm-3m (No. 225)
Unique sites:
Ac (0.0000, 0.0000, 0.0000) (multiplicity 4)  8 Pm 3.55
Pm (0.2500, 0.2500, 0.2500) (multiplicity 8)  4 Ac 3.55, 4 Sc 3.55
Sc (0.0000, 0.0000, 0.5000) (multiplicity 4)  8 Pm 3.55



(3)
Compound: AcPm2Sc
Source: Alexandria via LeMat-Bulk
Functional: PBE
Structure: optimized geometry

The formation energy comes out at 0.8 eV per formula unit. As for the energy above the most stable polymorph in this dataset: 136 meV/atom. For the total energy, the calculation gives -4.7792 eV per atom. The calculation puts the spin magnetization at 0.00 μB per formula unit.

Cell lengths 3.5850, 3.5850, 37.6761 Å; angles 90.00, 90.00, 120.00 degrees
With the nearest neighbours (Å) after each atom.
Space group R-3m (No. 166, hexagonal axes)
Unique sites:
Ac (0.0000, 0.0000, 0.0000) (multiplicity 3)  2 Pm 3.58, 6 Ac 3.58
Pm (0.0000, 0.0000, 0.0949) (multiplicity 6)  3 Sc 3.40, 1 Ac 3.58, 6 Pm 3.58
Sc (0.0000, 0.0000, 0.5000) (multiplicity 3)  6 Pm 3.40, 6 Sc 3.58



(4)
Compound: Ac2PmSc
Source: Alexandria via LeMat-Bulk
Functional: PBE
Structure: optimized geometry

The formation energy comes out at 0.3 eV per formula unit. As for the energy above the most stable polymorph in this dataset: 0 meV/atom. For the total energy, the calculation gives -4.7537 eV per atom. The calculation puts the spin magnetization at 0.00 μB per formula unit.

Cell lengths 3.8954, 3.8954, 9.6231 Å; angles 90.00, 90.00, 90.00 degrees
With the nearest neighbours (Å) after each atom.
Space group P4/mmm (No. 123)
Unique sites:
Ac (0.0000, 0.0000, 0.2329) (multiplicity 2)  4 Sc 3.55, 4 Pm 3.77, 4 Ac 3.90
Pm (0.5000, 0.5000, 0.5000) (multiplicity 1)  8 Ac 3.77, 4 Pm 3.90
Sc (0.5000, 0.5000, 0.0000) (multiplicity 1)  8 Ac 3.55, 4 Sc 3.90



(5)
Compound: Ac2PmSc
Source: Alexandria via LeMat-Bulk
Functional: PBE
Structure: optimized geometry

The formation energy comes out at 0.5 eV per formula unit. As for the energy above the most stable polymorph in this dataset: 51 meV/atom. For the total energy, the calculation gives -4.7028 eV per atom. The calculation puts the spin magnetization at 0.00 μB per formula unit.

Cell lengths 3.7771, 3.7771, 35.5392 Å; angles 90.00, 90.00, 120.00 degrees
With the nearest neighbours (Å) after each atom.
Space group R3m (No. 160, hexagonal axes)
Unique sites:
Ac (0.0000, 0.0000, 0.0000) (multiplicity 3)  3 Sc 3.55, 3 Pm 3.75, 6 Ac 3.78
Ac (0.0000, 0.0000, 0.1748) (multiplicity 3)  3 Sc 3.58, 6 Ac 3.78, 3 Pm 3.84
Pm (0.0000, 0.0000, 0.4192) (multiplicity 3)  6 Ac 3.75-3.84, 6 Pm 3.78
Sc (0.0000, 0.0000, 0.5880) (multiplicity 3)  6 Ac 3.55-3.58, 6 Sc 3.78



(6)
Compound: AcPm2Sc
Source: Alexandria via LeMat-Bulk
Functional: PBE
Structure: optimized geometry

The formation energy comes out at 0.4 eV per formula unit. As for the energy above the most stable polymorph in this dataset: 30 meV/atom. For the total energy, the calculation gives -4.8856 eV per atom. The calculation puts the spin magnetization at 0.00 μB per formula unit.

Cell lengths 3.6757, 3.6757, 35.2388 Å; angles 90.00, 90.00, 120.00 degrees
With the nearest neighbours (Å) after each atom.
Space group R3m (No. 160, hexagonal axes)
Unique sites:
Ac (0.0000, 0.0000, 0.0000) (multiplicity 3)  6 Ac 3.68, 6 Pm 3.82-3.83
Pm (0.0000, 0.0000, 0.5765) (multiplicity 3)  3 Sc 3.44, 6 Pm 3.68, 3 Ac 3.82
Pm (0.0000, 0.0000, 0.7570) (multiplicity 3)  3 Sc 3.42, 6 Pm 3.68, 3 Ac 3.83
Sc (0.0000, 0.0000, 0.1664) (multiplicity 3)  6 Pm 3.42-3.44, 6 Sc 3.68



(7)
Compound: Ac2PmSc
Source: Alexandria via LeMat-Bulk
Functional: PBE
Structure: optimized geometry

The formation energy comes out at 1.3 eV per formula unit. As for the energy above the most stable polymorph in this dataset: 253 meV/atom. For the total energy, the calculation gives -4.5004 eV per atom. The calculation puts the spin magnetization at 0.03 μB per formula unit.

Cell lengths 3.6793, 3.6793, 38.5180 Å; angles 90.00, 90.00, 120.00 degrees
With the nearest neighbours (Å) after each atom.
Space group R-3m (No. 166, hexagonal axes)
Unique sites:
Ac (0.0000, 0.0000, 0.0854) (multiplicity 6)  1 Sc 3.29, 6 Ac 3.68
Pm (0.0000, 0.0000, 0.5000) (multiplicity 3)  6 Pm 3.68, 6 Ac 3.78
Sc (0.0000, 0.0000, 0.0000) (multiplicity 3)  2 Ac 3.29, 6 Sc 3.68



(8)
Compound: Ac2PmSc
Source: Alexandria via LeMat-Bulk
Functional: PBE
Structure: optimized geometry

The formation energy comes out at 0.3 eV per formula unit. As for the energy above the most stable polymorph in this dataset: 13 meV/atom. For the total energy, the calculation gives -4.7409 eV per atom. The calculation puts the spin magnetization at 0.00 μB per formula unit.

Cell lengths 5.3691, 5.3691, 5.0606 Å; angles 90.00, 90.00, 90.00 degrees
With the nearest neighbours (Å) after each atom.
Space group P4/mmm (No. 123)
Unique sites:
Ac (0.0000, 0.5000, 0.0000) (multiplicity 2)  4 Pm 3.69, 4 Sc 3.69, 4 Ac 3.80
Pm (0.0000, 0.0000, 0.5000) (multiplicity 1)  8 Ac 3.69, 4 Sc 3.80
Sc (0.5000, 0.5000, 0.5000) (multiplicity 1)  8 Ac 3.69, 4 Pm 3.80